Er3Mg3Ga2Au | GGA-PBE | optimized geometry

Values from the calculation:
- Uncorrected energy: -32.9 eV per cell
- Magnetization: 0.00 μB/f.u.

Unit cell a=7.3195 b=7.3195 c=4.2864 alpha=90.00 beta=90.00 gamma=120.00
Space group P-62m (No. 189)
Inequivalent atoms, fractional coordinates:
1 Er 0.0000 0.4173 0.0000 x3
2 Mg 0.0000 0.7541 0.5000 x3
3 Ga 0.3333 0.6667 0.5000 x2
4 Au 0.0000 0.0000 0.0000 x1

---

Er2Ga4NiAu | GGA-PBE | optimized geometry

Values from the calculation:
- Uncorrected energy: -70.4 eV per cell
- Magnetization: 0.00 μB/f.u.

Unit cell a=6.6249 b=4.3237 c=10.0477 alpha=90.00 beta=90.00 gamma=90.00
Space group Amm2 (No. 38)
Inequivalent atoms, fractional coordinates:
1 Er 0.0000 0.0000 0.0000 x2
2 Er 0.5000 0.0000 0.1633 x2
3 Ga 0.1882 0.0000 0.7077 x4
4 Ga 0.2885 0.0000 0.4474 x4
5 Ni 0.0000 0.0000 0.2841 x2
6 Au 0.5000 0.0000 0.8738 x2

---

Er2Ga4PdAu | GGA-PBE | optimized geometry

Values from the calculation:
- Uncorrected energy: -71.1 eV per cell
- Magnetization: 0.00 μB/f.u.

Unit cell a=6.6340 b=4.4412 c=10.1810 alpha=90.00 beta=90.00 gamma=90.00
Space group Amm2 (No. 38)
Inequivalent atoms, fractional coordinates:
1 Er 0.0000 0.0000 0.0000 x2
2 Er 0.5000 0.0000 0.1761 x2
3 Ga 0.2041 0.0000 0.7141 x4
4 Ga 0.3051 0.0000 0.4657 x4
5 Pd 0.5000 0.0000 0.8882 x2
6 Au 0.0000 0.0000 0.2911 x2

---

ErTmGa2Au4 | GGA-PBE | optimized geometry

Values from the calculation:
- Uncorrected energy: -33.7 eV per cell
- Magnetization: 0.00 μB/f.u.

Unit cell a=4.5636 b=4.5636 c=9.0017 alpha=90.00 beta=90.00 gamma=120.00
Space group P-6m2 (No. 187)
Inequivalent atoms, fractional coordinates:
1 Er 0.0000 0.0000 0.0000 x1
2 Tm 0.3333 0.6667 0.5000 x1
3 Ga 0.6667 0.3333 0.2501 x2
4 Au 0.0000 0.0000 0.3392 x2
5 Au 0.3333 0.6667 0.1618 x2

---

ErTm2Ga4Au | GGA-PBE | optimized geometry

Values from the calculation:
- Uncorrected energy: -65.8 eV per cell
- Magnetization: 0.03 μB/f.u.

Unit cell a=6.4157 b=4.0265 c=13.2552 alpha=90.00 beta=90.00 gamma=90.00
Space group Amm2 (No. 38)
Inequivalent atoms, fractional coordinates:
1 Er 0.0000 0.0000 0.0000 x2
2 Tm 0.0000 0.0000 0.7261 x2
3 Tm 0.5000 0.0000 0.1868 x2
4 Ga 0.2198 0.0000 0.3596 x4
5 Ga 0.3039 0.0000 0.5534 x4
6 Au 0.5000 0.0000 0.9008 x2

---

Er2TmGa4Au | GGA-PBE | optimized geometry

Values from the calculation:
- Uncorrected energy: -66.2 eV per cell
- Magnetization: 0.01 μB/f.u.

Unit cell a=6.6062 b=4.4253 c=11.5852 alpha=90.00 beta=90.00 gamma=90.00
Space group Amm2 (No. 38)
Inequivalent atoms, fractional coordinates:
1 Er 0.0000 0.0000 0.0000 x2
2 Er 0.5000 0.0000 0.1359 x2
3 Tm 0.5000 0.0000 0.8547 x2
4 Ga 0.1880 0.0000 0.6803 x4
5 Ga 0.2946 0.0000 0.4654 x4
6 Au 0.0000 0.0000 0.2850 x2

---

ErZrGa2Au4 | GGA-PBE | optimized geometry

Values from the calculation:
- Uncorrected energy: -37.0 eV per cell
- Magnetization: 0.00 μB/f.u.

Unit cell a=4.5549 b=4.5549 c=8.7919 alpha=90.00 beta=90.00 gamma=120.00
Space group P-6m2 (No. 187)
Inequivalent atoms, fractional coordinates:
1 Er 0.0000 0.0000 0.0000 x1
2 Zr 0.3333 0.6667 0.5000 x1
3 Ga 0.6667 0.3333 0.3145 x2
4 Au 0.0000 0.0000 0.3375 x2
5 Au 0.3333 0.6667 0.1613 x2

---

GdErAu4 | GGA-PBE | optimized geometry

Values from the calculation:
- Uncorrected energy: -27.5 eV per cell
- Magnetization: 0.00 μB/f.u.

Unit cell a=3.7276 b=3.7276 c=9.0725 alpha=90.00 beta=90.00 gamma=90.00
Space group P4/mmm (No. 123)
Inequivalent atoms, fractional coordinates:
1 Gd 0.0000 0.0000 0.0000 x1
2 Er 0.5000 0.5000 0.5000 x1
3 Au 0.0000 0.0000 0.3381 x2
4 Au 0.5000 0.5000 0.1683 x2

---

GdErAu | GGA-PBE | optimized geometry

Values from the calculation:
- Energy relative to the lowest polymorph listed for this composition: 16 meV/atom
- Magnetization: 0.01 μB/f.u.

Unit cell a=7.0338 b=4.9565 c=8.9516 alpha=90.00 beta=90.00 gamma=90.00
Space group Pnma (No. 62)
Inequivalent atoms, fractional coordinates:
1 Gd 0.1519 0.2500 0.0821 x4
2 Er 0.0119 0.2500 0.6768 x4
3 Au 0.2365 0.2500 0.4016 x4

---

GdErAu2 | GGA-PBE | optimized geometry

Values from the calculation:
- Uncorrected energy: -38.6 eV per cell
- Magnetization: 0.00 μB/f.u.

Unit cell a=4.6546 b=3.7145 c=10.9510 alpha=90.00 beta=90.00 gamma=90.00
Space group Amm2 (No. 38)
Inequivalent atoms, fractional coordinates:
1 Gd 0.0000 0.0000 0.0000 x2
2 Er 0.5000 0.0000 0.7206 x2
3 Au 0.0000 0.0000 0.2712 x2
4 Au 0.5000 0.0000 0.4492 x2

---

GdErAu | GGA-PBE | optimized geometry

Values from the calculation:
- Energy relative to the lowest polymorph listed for this composition: 0 meV/atom
- Magnetization: 0.00 μB/f.u.

Unit cell a=7.0940 b=4.9347 c=8.8980 alpha=90.00 beta=90.00 gamma=90.00
Space group Pnma (No. 62)
Inequivalent atoms, fractional coordinates:
1 Gd 0.0134 0.2500 0.1779 x4
2 Er 0.1499 0.2500 0.5802 x4
3 Au 0.2464 0.2500 0.9003 x4

---

GdErAu6 | GGA-PBE | optimized geometry

Values from the calculation:
- Uncorrected energy: -34.6 eV per cell
- Magnetization: 0.00 μB/f.u.

Unit cell a=5.0354 b=6.1640 c=5.1379 alpha=90.00 beta=90.00 gamma=90.00
Space group Pmm2 (No. 25)
Inequivalent atoms, fractional coordinates:
1 Gd 0.0000 0.0000 0.0000 x1
2 Er 0.5000 0.5000 0.6879 x1
3 Au 0.0000 0.2603 0.5057 x2
4 Au 0.0000 0.5000 0.0066 x1
5 Au 0.5000 0.0000 0.6731 x1
6 Au 0.5000 0.2482 0.1816 x2